Record 1
Compound: Na4MnW3N8
Source: Alexandria via LeMat-Bulk
Functional: GGA-PBE
Structure: relaxed

Computed properties:
- Mass density: 7.418 g cm⁻³
- ΔE_f (raw): -341 meV per atom

a = 6.062 Å, b = 6.689 Å, c = 6.062 Å
α = 116.95°, β = 120.00°, γ = 90.00°
Last column: magnetic moment on the atom in μB.
Positions (direct):
Na: 0.000 0.000 0.000  0.00
Na: 0.500 0.000 0.500  0.00
Na: 0.500 0.000 0.000  0.00
Na: 0.000 0.000 0.500  0.00
N: 0.767 0.306 0.039  0.00
N: 0.734 0.702 0.468  0.01
N: 0.728 0.694 0.961  0.00
N: 0.266 0.298 0.532  0.01
N: 0.767 0.306 0.534  0.00
N: 0.272 0.306 0.039  0.00
N: 0.233 0.694 0.466  0.00
N: 0.233 0.694 0.961  0.00
W: 0.500 0.500 0.000  0.12
W: 0.000 0.500 0.500  0.12
W: 0.500 0.500 0.500  0.12
Mn: 0.000 0.500 0.000  2.99



Record 2
Compound: NaZrMn2N
Source: Alexandria via LeMat-Bulk
Functional: GGA-PBE
Structure: relaxed

Computed properties:
- Mass density: 3.253 g cm⁻³
- ΔE_f (raw): 919 meV per atom

a = 5.391 Å, b = 4.181 Å, c = 5.391 Å
α = 90.00°, β = 90.00°, γ = 90.00°
Last column: magnetic moment on the atom in μB.
Positions (direct):
Na: 0.500 0.500 0.500  -0.01
Mn: 0.000 0.000 0.500  3.88
Mn: 0.500 0.000 0.000  4.05
Zr: 0.000 0.000 0.000  -0.42
N: 0.000 0.500 0.000  0.22



Record 3
Compound: MnNb2N
Source: Alexandria via LeMat-Bulk
Functional: GGA-PBE
Structure: relaxed

Computed properties:
- Mass density: 7.484 g cm⁻³
- ΔE_f (raw): -364 meV per atom

a = 3.069 Å, b = 3.069 Å, c = 7.151 Å
α = 77.61°, β = 77.61°, γ = 60.00°
Last column: magnetic moment on the atom in μB.
Positions (direct):
Nb: 0.727 0.727 0.818  -0.27
Nb: 0.273 0.273 0.182  -0.27
Mn: 0.500 0.500 0.500  2.82
N: 0.000 0.000 0.000  -0.01



Record 4
Compound: MnNb3N
Source: Alexandria via LeMat-Bulk
Functional: GGA-PBE
Structure: relaxed

Computed properties:
- Mass density: 7.707 g cm⁻³
- ΔE_f (raw): -203 meV per atom

a = 4.215 Å, b = 4.215 Å, c = 4.215 Å
α = 90.00°, β = 90.00°, γ = 90.00°
Positions (direct):
Mn: 0.500 0.500 0.500
N: 0.000 0.000 0.000
Nb: 0.000 0.500 0.000
Nb: 0.500 0.000 0.000
Nb: 0.000 0.000 0.500



Record 5
Compound: MnNbN
Source: Alexandria via LeMat-Bulk
Functional: GGA-PBE
Structure: relaxed

Computed properties:
- Mass density: 7.491 g cm⁻³
- ΔE_f (raw): -268 meV per atom

a = 5.247 Å, b = 5.247 Å, c = 9.028 Å
α = 90.00°, β = 90.00°, γ = 120.00°
Last column: magnetic moment on the atom in μB.
Positions (direct):
Nb: 0.000 0.323 0.000  -0.11
Nb: 0.677 0.677 0.500  -0.11
Nb: 0.677 0.677 0.000  -0.11
Nb: 0.323 0.000 0.000  -0.11
Nb: 0.323 0.000 0.500  -0.11
Nb: 0.000 0.323 0.500  -0.11
Mn: 0.021 0.658 0.250  1.08
Mn: 0.362 0.342 0.750  1.08
Mn: 0.658 0.021 0.750  1.08
Mn: 0.342 0.362 0.250  1.08
Mn: 0.979 0.638 0.750  1.08
Mn: 0.638 0.979 0.250  1.08
N: 0.333 0.667 0.122  -0.02
N: 0.000 0.000 0.750  -0.06
N: 0.000 0.000 0.250  -0.06
N: 0.667 0.333 0.622  -0.02
N: 0.667 0.333 0.878  -0.02
N: 0.333 0.667 0.378  -0.02



Record 6
Compound: Mn2NbN
Source: Alexandria via LeMat-Bulk
Functional: GGA-PBE
Structure: relaxed

Computed properties:
- Mass density: 7.520 g cm⁻³
- ΔE_f (raw): -137 meV per atom

a = 6.522 Å, b = 6.522 Å, c = 5.132 Å
α = 50.55°, β = 50.55°, γ = 90.00°
Last column: magnetic moment on the atom in μB.
Positions (direct):
Mn: 0.375 0.500 0.750  1.06
Mn: 0.500 0.125 0.250  1.04
Mn: 0.250 0.625 0.250  1.06
Mn: 0.875 0.750 0.750  1.07
N: 0.500 0.500 0.000  -0.03
N: 0.250 0.750 0.500  -0.03
Nb: 0.000 0.000 0.000  -0.26
Nb: 0.750 0.250 0.500  -0.26



Record 7
Compound: MnNbN
Source: Alexandria via LeMat-Bulk
Functional: GGA-PBE
Structure: relaxed

Computed properties:
- Mass density: 7.275 g cm⁻³
- ΔE_f (raw): -374 meV per atom

a = 4.507 Å, b = 3.076 Å, c = 3.076 Å
α = 120.00°, β = 90.00°, γ = 90.00°
Last column: magnetic moment on the atom in μB.
Positions (direct):
N: 0.320 0.667 0.333  -0.04
Nb: 0.586 0.333 0.667  -0.25
Mn: 0.094 0.000 0.000  2.59



Record 8
Compound: MnNb2N4
Source: Alexandria via LeMat-Bulk
Functional: GGA-PBE
Structure: relaxed

Computed properties:
- Mass density: 6.784 g cm⁻³
- ΔE_f (raw): -123 meV per atom

a = 3.655 Å, b = 3.655 Å, c = 6.020 Å
α = 72.33°, β = 72.33°, γ = 90.00°
Last column: magnetic moment on the atom in μB.
Positions (direct):
Mn: 0.000 0.000 0.000  1.63
N: 0.000 0.500 0.000  0.01
N: 0.181 0.181 0.638  0.02
N: 0.500 0.000 0.000  0.01
N: 0.819 0.819 0.362  0.02
Nb: 0.641 0.641 0.718  -0.05
Nb: 0.359 0.359 0.282  -0.05



Record 9
Compound: MnNbN3
Source: Alexandria via LeMat-Bulk
Functional: GGA-PBE
Structure: relaxed

Computed properties:
- Mass density: 4.734 g cm⁻³
- ΔE_f (raw): 612 meV per atom

a = 4.053 Å, b = 4.053 Å, c = 4.053 Å
α = 90.00°, β = 90.00°, γ = 90.00°
Last column: magnetic moment on the atom in μB.
Positions (direct):
Nb: 0.000 0.000 0.000  0.18
N: 0.500 0.000 0.000  -0.34
N: 0.000 0.500 0.000  -0.48
N: 0.000 0.000 0.500  -0.44
Mn: 0.500 0.500 0.500  4.40



Record 10
Compound: Mn2NbN3
Source: Alexandria via LeMat-Bulk
Functional: GGA-PBE
Structure: relaxed

Computed properties:
- Mass density: 6.394 g cm⁻³
- ΔE_f (raw): -381 meV per atom

a = 5.697 Å, b = 5.697 Å, c = 4.520 Å
α = 90.00°, β = 90.00°, γ = 119.92°
Last column: magnetic moment on the atom in μB.
Positions (direct):
N: 0.687 0.687 0.579  0.00
N: 0.283 0.945 0.615  -0.02
N: 0.717 0.055 0.115  -0.02
N: 0.945 0.283 0.615  -0.02
N: 0.055 0.717 0.115  -0.02
N: 0.313 0.313 0.079  0.00
Mn: 0.972 0.609 0.514  0.55
Mn: 0.609 0.972 0.514  0.55
Mn: 0.391 0.028 0.014  0.55
Mn: 0.028 0.391 0.014  0.55
Nb: 0.321 0.321 0.575  -0.04
Nb: 0.679 0.679 0.075  -0.04



Record 11
Compound: MnNb3N
Source: Alexandria via LeMat-Bulk
Functional: GGA-PBE
Structure: relaxed

Computed properties:
- Mass density: 6.159 g cm⁻³
- ΔE_f (raw): 1659 meV per atom

a = 4.543 Å, b = 4.543 Å, c = 4.543 Å
α = 90.00°, β = 90.00°, γ = 90.00°
Positions (direct):
N: 0.500 0.500 0.500
Nb: 0.500 0.000 0.000
Nb: 0.000 0.000 0.500
Nb: 0.000 0.500 0.000
Mn: 0.000 0.000 0.000



Record 12
Compound: MnNb2N
Source: Alexandria via LeMat-Bulk
Functional: GGA-PBE
Structure: relaxed

Computed properties:
- Mass density: 7.203 g cm⁻³
- ΔE_f (raw): 38 meV per atom

a = 6.207 Å, b = 6.207 Å, c = 5.344 Å
α = 54.50°, β = 54.50°, γ = 90.00°
Last column: magnetic moment on the atom in μB.
Positions (direct):
Nb: 0.560 0.125 0.250  -0.22
Nb: 0.190 0.625 0.250  -0.21
Nb: 0.375 0.440 0.750  -0.27
Nb: 0.875 0.810 0.750  -0.20
N: 0.250 0.750 0.500  0.06
N: 0.500 0.500 0.000  0.06
Mn: 0.000 0.000 0.000  2.53
Mn: 0.750 0.250 0.500  2.54



What did the ninth record say?
Compound: MnNbN3
Source: Alexandria via LeMat-Bulk
Functional: GGA-PBE
Structure: relaxed

Computed properties:
- Mass density: 4.734 g cm⁻³
- ΔE_f (raw): 612 meV per atom

a = 4.053 Å, b = 4.053 Å, c = 4.053 Å
α = 90.00°, β = 90.00°, γ = 90.00°
Last column: magnetic moment on the atom in μB.
Positions (direct):
Nb: 0.000 0.000 0.000  0.18
N: 0.500 0.000 0.000  -0.34
N: 0.000 0.500 0.000  -0.48
N: 0.000 0.000 0.500  -0.44
Mn: 0.500 0.500 0.500  4.40